Entry from the Alexandria database: RbAgBr2 after structural relaxation (PBE).

Summary:
The crystal system is monoclinic. The value obtained for the uncorrected formation energy is -1.0436 eV per atom. The value obtained for the density of states at the Fermi level is 0.0 states/eV/f.u. The calculation puts the volume at 289.07 Å³/cell. The total DFT energy (no corrections) is -2.83 eV/atom. As for the symmetry: No. 12.

Lattice parameters (Å, degrees): 8.967 8.967 8.150 114.61 114.61 29.26
Fractional coordinates of all 8 atoms:
Rb1 0.136 0.136 0.098
Rb2 0.864 0.864 0.902
Ag1 0.403 0.403 0.399
Ag2 0.597 0.597 0.601
Br1 0.195 0.195 0.726
Br2 0.486 0.486 0.767
Br3 0.514 0.514 0.233
Br4 0.805 0.805 0.274